# 1
DFT (PBE) results for an optimized crystal structure of NpPaIn.

Summary:
ΔE_f = 0.19 eV/atom

a = 5.537 Å, b = 4.978 Å, c = 9.860 Å
α = 90.00°, β = 92.48°, γ = 90.00°
Fractional positions:
Np 0.217 0.000 0.405
Np 0.283 0.500 0.595
Np 0.717 0.500 0.405
Np 0.783 0.000 0.595
Pa 0.218 0.000 0.706
Pa 0.282 0.500 0.294
Pa 0.718 0.500 0.706
Pa 0.782 0.000 0.294
In 0.241 0.500 0.919
In 0.259 0.000 0.081
In 0.741 0.000 0.919
In 0.759 0.500 0.081

***

# 2
DFT (PBE) results for an optimized crystal structure of Ba2PdN2.

Summary:
formation energy from raw total energies = -401 meV per atom

a = 7.974 Å, b = 7.974 Å, c = 7.862 Å
α = 102.50°, β = 102.50°, γ = 32.14°
Fractional positions:
Ba 0.052 0.683 0.878
Ba 0.317 0.948 0.622
Ba 0.683 0.052 0.378
Ba 0.948 0.317 0.122
Pd 0.329 0.671 0.250
Pd 0.671 0.329 0.750
N 0.125 0.410 0.471
N 0.410 0.125 0.971
N 0.590 0.875 0.029
N 0.875 0.590 0.529

***

| no. | raw total energy (eV/atom) |
| --- | --- |
| 1 | -8.199 |
| 2 | -5.539 |